The following is a PBE calculation of an optimized crystal structure of LaTlAs2Se, from the Alexandria database.

Summary:
VASP energy: -19.86 eV/cell
formation energy (no corrections): 0.0425 eV/atom
energy above the most stable polymorph in this dataset: 20.1 meV per atom
V: 147.3 Å³ per cell

Cell lengths 5.2338, 5.2338, 5.3787 Å; angles 90.00, 90.00, 90.00 degrees
With the nearest neighbours (Å) after each atom.
Space group P4/mmm (No. 123)
Unique sites:
La 0.0000 0.0000 0.0000 x1  4 Se 3.70, 8 As 3.75
Tl 0.5000 0.5000 0.5000 x1  4 As 2.62, 2 Se 2.69
As 0.0000 0.5000 0.5000 x2  2 Tl 2.62
Se 0.5000 0.5000 0.0000 x1  2 Tl 2.69


The following is a PBE calculation of an optimized crystal structure of LaTmAsSe, from the Alexandria database.

Summary:
VASP energy: -73.45 eV/cell
formation energy (no corrections): -1.7378 eV/atom
V: 313.5 Å³ per cell

Cell lengths 4.1819, 4.1819, 20.7007 Å; angles 90.00, 90.00, 120.00 degrees
With the nearest neighbours (Å) after each atom.
Space group R3m (No. 160, hexagonal axes)
Unique sites:
La 0.0000 0.0000 0.0000 x3  3 As 3.01, 3 Se 3.10
Tm 0.0000 0.0000 0.4929 x3  3 As 2.85, 3 Se 2.93
As 0.0000 0.0000 0.7532 x3  3 Tm 2.85, 3 La 3.01
Se 0.0000 0.0000 0.2398 x3  3 Tm 2.93, 3 La 3.10


The following is a PBE calculation of an optimized crystal structure of LaVAs2Se, from the Alexandria database.

Summary:
VASP energy: -23.17 eV/cell
formation energy (no corrections): 0.7329 eV/atom
energy above the most stable polymorph in this dataset: 1435.3 meV per atom
V: 177.3 Å³ per cell

Cell lengths 5.6122, 5.6122, 5.6287 Å; angles 90.00, 90.00, 90.00 degrees
With the nearest neighbours (Å) after each atom.
Space group P4/mmm (No. 123)
Unique sites:
La 0.0000 0.0000 0.0000 x1  4 As 2.81, 2 Se 2.81
V 0.5000 0.5000 0.5000 x1  4 Se 3.97, 8 As 3.97
As 0.0000 0.5000 0.0000 x2  2 La 2.81
Se 0.0000 0.0000 0.5000 x1  2 La 2.81